[1]
Computed, not measured: a geometry-optimized NaHo3Tm2Te6 structure at the PBE level of DFT.

The space group is C2/m (12). The calculation puts the raw formation energy at -1.2474 eV/atom.

Cell: 4.3254 8.7410 9.7376 Å, 103.31 102.83 90.00°
Fractional positions:
Te 0.9966 0.7475 0.9931
Te 0.3336 0.4186 0.6672
Te 0.6698 0.0858 0.3395
Te 0.6664 0.5814 0.3328
Te 0.0034 0.2525 0.0069
Te 0.3302 0.9142 0.6605
Tm 0.8315 0.6586 0.6631
Tm 0.1685 0.3414 0.3369
Ho 0.8377 0.1771 0.6753
Ho 0.1623 0.8229 0.3247
Ho 0.5000 0.5000 0.0000
Na 0.5000 0.0000 0.0000

[2]
Computed, not measured: a geometry-optimized La2Tb3PmSe6 structure at the PBE level of DFT.

The space group is C2/m (12). The calculation puts the raw formation energy at -1.8624 eV/atom.

Cell: 4.1488 8.4524 9.3821 Å, 103.97 102.77 90.00°
Fractional positions:
Tb 0.5000 0.5000 0.0000
Tb 0.8326 0.1663 0.6653
Tb 0.1674 0.8337 0.3347
Se 0.3369 0.4074 0.6738
Se 0.0044 0.7456 0.0089
Se 0.9956 0.2544 0.9911
Se 0.3318 0.9277 0.6635
Se 0.6631 0.5926 0.3262
Se 0.6682 0.0723 0.3365
La 0.8342 0.6681 0.6684
La 0.1658 0.3319 0.3316
Pm 0.5000 0.0000 0.0000

[3]
Computed, not measured: a geometry-optimized HoMo6Se8 structure at the PBE level of DFT.

The space group is R-3 (148). The calculation puts the raw formation energy at -0.7049 eV/atom.

Cell: 6.7612 6.7612 6.7612 Å, 89.22 89.22 89.22°
Fractional positions:
Se 0.1232 0.3682 0.7574
Se 0.8768 0.6318 0.2426
Se 0.6318 0.2426 0.8768
Se 0.2426 0.8768 0.6318
Se 0.7574 0.1232 0.3682
Se 0.2365 0.2365 0.2365
Se 0.3682 0.7574 0.1232
Se 0.7635 0.7635 0.7635
Mo 0.7674 0.4416 0.5758
Mo 0.4242 0.2326 0.5584
Mo 0.2326 0.5584 0.4242
Mo 0.5584 0.4242 0.2326
Mo 0.4416 0.5758 0.7674
Mo 0.5758 0.7674 0.4416
Ho 0.0000 0.0000 0.0000

[4]
Computed, not measured: a geometry-optimized Pm4Pt2Pb structure at the PBE level of DFT.

The space group is Fddd (70).

Cell: 8.1899 8.1899 8.3792 Å, 109.03 109.00 109.48°
Fractional positions:
Pm 0.3272 0.5185 0.1732
Pm 0.4815 0.6730 0.8269
Pm 0.7684 0.0771 0.6731
Pm 0.9046 0.5961 0.6731
Pm 0.3452 0.1539 0.8267
Pm 0.4039 0.0953 0.3268
Pm 0.9231 0.2316 0.3269
Pm 0.8461 0.6546 0.1732
Pb 0.2498 0.7498 0.5000
Pb 0.0002 0.0002 0.0000
Pt 0.6250 0.8750 0.2500
Pt 0.6250 0.3750 0.7500
Pt 0.1250 0.3751 0.7501
Pt 0.6250 0.3749 0.2499

[5]
Computed, not measured: a geometry-optimized Ho2InTcC structure at the PBE level of DFT.

The space group is P4/mmm (123).

Cell: 4.0312 4.9547 4.9547 Å, 90.00 90.00 90.00°
Fractional positions:
In 0.5000 0.5000 0.5000
Ho 0.0000 0.0000 0.5000
Ho 0.0000 0.5000 0.0000
C 0.0000 0.0000 0.0000
Tc 0.5000 0.0000 0.0000

[6]
Computed, not measured: a geometry-optimized ScCoRu structure at the PBE level of DFT.

The value obtained for the relative energy among the computed polymorphs is 567.3 meV per atom. The space group is P3m1 (156).

Cell: 2.9140 2.9140 6.2517 Å, 90.00 90.00 120.00°
Site moments in Bohr magnetons follow the coordinates.
Fractional positions:
Co 0.0000 0.0000 0.0099  1.48
Ru 0.6667 0.3333 0.3223  0.48
Sc 0.3333 0.6667 0.6679  -0.19

[7]
Computed, not measured: a geometry-optimized In4SnHg15 structure at the PBE level of DFT.

The space group is P4/mmm (123).

Cell: 5.7222 5.7222 16.5234 Å, 90.00 90.00 90.00°
Fractional positions:
Hg 0.5000 0.5000 0.6006
Hg 0.5000 0.5000 0.3994
Hg 0.0000 0.5000 0.5000
Hg 0.5000 0.5000 0.1996
Hg 0.0000 0.5000 0.2977
Hg 0.5000 0.0000 0.0986
Hg 0.0000 0.5000 0.0986
Hg 0.0000 0.5000 0.7023
Hg 0.5000 0.0000 0.9014
Hg 0.5000 0.0000 0.5000
Hg 0.5000 0.0000 0.7023
Hg 0.0000 0.5000 0.9014
Hg 0.5000 0.0000 0.2977
Hg 0.5000 0.5000 0.0000
Hg 0.5000 0.5000 0.8004
In 0.0000 0.0000 0.6049
In 0.0000 0.0000 0.1951
In 0.0000 0.0000 0.3951
In 0.0000 0.0000 0.8049
Sn 0.0000 0.0000 0.0000

[8]
Computed, not measured: a geometry-optimized In2Bi2Pt structure at the PBE level of DFT.

The value obtained for the relative energy among the computed polymorphs is 0.0 meV per atom. The space group is P4/mbm (127).

Cell: 7.3423 7.3423 5.3817 Å, 90.00 90.00 90.00°
Fractional positions:
Bi 0.6544 0.1544 0.0000
Bi 0.1544 0.3456 0.0000
Bi 0.3456 0.8456 0.0000
Bi 0.8456 0.6544 0.0000
Pt 0.5000 0.5000 0.0000
Pt 0.0000 0.0000 0.0000
In 0.1633 0.6633 0.5000
In 0.8367 0.3367 0.5000
In 0.3367 0.1633 0.5000
In 0.6633 0.8367 0.5000

[9]
Computed, not measured: a geometry-optimized AcCe2H structure at the PBE level of DFT.

The value obtained for the relative energy among the computed polymorphs is 0.0 meV per atom. The space group is R-3m (166).

Cell: 4.0142 4.0142 7.9043 Å, 75.29 75.29 60.00°
Fractional positions:
Ce 0.2995 0.2995 0.1016
Ce 0.7005 0.7005 0.8984
H 0.0000 0.0000 0.0000
Ac 0.5000 0.5000 0.5000

[10]
Computed, not measured: a geometry-optimized BaRh2Au2 structure at the PBE level of DFT.

The value obtained for the relative energy among the computed polymorphs is 0.0 meV per atom. The space group is I4/mmm (139).

Cell: 4.7341 4.7341 6.0643 Å, 67.03 67.03 90.00°
Fractional positions:
Au 0.2500 0.7500 0.5000
Au 0.7500 0.2500 0.5000
Ba 0.0000 0.0000 0.0000
Rh 0.3810 0.3810 0.2380
Rh 0.6190 0.6190 0.7620

no.,E (eV/atom)
1,-4.82
2,-5.98
3,-7.20
4,-5.69
5,-6.69
6,-7.37
7,-0.94
8,-3.81
9,-4.78
10,-4.71